1.
Crystalline NaHgPO at its relaxed geometry, computed with PBE-GGA.

Unit cell a=4.3913 b=7.3182 c=4.3623 alpha=90.00 beta=90.00 gamma=90.00
Positions (direct):
Hg  0.5000  0.2262  0.4388
Hg  0.5000  0.7738  0.9388
Na  0.0000  0.8403  0.4395
Na  0.0000  0.1597  0.9395
O  0.5000  0.8821  0.4378
O  0.5000  0.1179  0.9378
P  0.0000  0.4392  0.4379
P  0.0000  0.5608  0.9379

Energy relative to the lowest polymorph listed for this composition in eV/f.u.: 0.000
Space-group type: No. 51
Total energy in eV per cell: -26.31



2.
Crystalline Sm3InCo3 at its relaxed geometry, computed with PBE-GGA.

Unit cell a=5.5026 b=5.5026 c=13.3220 alpha=90.00 beta=90.00 gamma=134.26
Positions (direct):
Co  0.4110  0.5890  0.1030
Co  0.3015  0.6985  0.2500
Co  0.4110  0.5890  0.3970
Co  0.5890  0.4110  0.6030
Co  0.6985  0.3015  0.7500
Co  0.5890  0.4110  0.8970
In  0.0000  0.0000  0.0000
In  0.0000  0.0000  0.5000
Sm  0.7059  0.2941  0.1043
Sm  0.9985  0.0015  0.2500
Sm  0.7059  0.2941  0.3957
Sm  0.2941  0.7059  0.6043
Sm  0.0015  0.9985  0.7500
Sm  0.2941  0.7059  0.8957

Space-group type: No. 63
Total energy in eV per cell: -79.30



3.
Crystalline KGe5Pt3 at its relaxed geometry, computed with PBE-GGA.

Unit cell a=5.5165 b=5.5165 c=7.6470 alpha=90.00 beta=90.00 gamma=120.00
Positions (direct):
Ge  0.6667  0.3333  0.2203
Ge  0.3333  0.6667  0.2203
Ge  0.0000  0.0000  0.5000
Ge  0.6667  0.3333  0.7797
Ge  0.3333  0.6667  0.7797
K  0.0000  0.0000  0.0000
Pt  0.5000  0.0000  0.5000
Pt  0.0000  0.5000  0.5000
Pt  0.5000  0.5000  0.5000

Space-group type: No. 191
Total energy in eV per cell: -42.97



4.
Crystalline ScFeRePb at its relaxed geometry, computed with PBE-GGA.

Unit cell a=4.6381 b=4.6381 c=4.6381 alpha=60.00 beta=60.00 gamma=60.00
Positions (direct):
Fe  0.7500  0.7500  0.7500
Pb  0.0000  0.0000  0.0000
Re  0.5000  0.5000  0.5000
Sc  0.2500  0.2500  0.2500

Energy relative to the lowest polymorph listed for this composition in eV/f.u.: 0.000
Space-group type: No. 216
Total energy in eV per cell: -28.92



5.
Crystalline KTcO3 at its relaxed geometry, computed with PBE-GGA.

Unit cell a=5.5204 b=5.5204 c=5.5204 alpha=60.00 beta=60.00 gamma=60.00
Positions (direct):
K  0.2500  0.2500  0.2500
K  0.7500  0.7500  0.7500
O  0.2504  0.7500  0.2496
O  0.7504  0.7496  0.2500
O  0.7500  0.2496  0.2504
O  0.2500  0.7504  0.7496
O  0.2496  0.2504  0.7500
O  0.7496  0.2500  0.7504
Tc  0.0000  0.0000  0.0000
Tc  0.5000  0.5000  0.5000

Space-group type: No. 221
Total energy in eV per cell: -68.36



6.
Crystalline Sr2ZnOsSe6 at its relaxed geometry, computed with PBE-GGA.

Unit cell a=7.4576 b=7.4576 c=7.4576 alpha=128.09 beta=128.09 gamma=76.48
Positions (direct):
Os  0.5000  0.5000  0.0000
Se  0.2762  0.2762  0.0000
Se  0.7238  0.7238  0.0000
Se  0.3587  0.8531  0.2119
Se  0.8531  0.6413  0.4944
Se  0.1469  0.3587  0.5056
Se  0.6413  0.1469  0.7881
Sr  0.7500  0.2500  0.5000
Sr  0.2500  0.7500  0.5000
Zn  0.0000  0.0000  0.0000

Space-group type: No. 87
Total energy in eV per cell: -44.23



> Look up the total energy of the second one.

-79.30 eV per cell